{
  "formula": "ErCrOs",
  "functional": "PBE",
  "state": "optimized geometry",
  "n_ef_per_ev_cell": 12.1,
  "formation_energy_mev_per_atom": -152,
  "e_above_lowest_polymorph_mev_per_atom": 0,
  "volume_a3_per_cell": 204.2,
  "density_kg_m3": 13316,
  "lattice_angstrom": [[5.101, 0.000, 0.000], [0.000, 5.525, 0.000], [0.000, 0.000, 7.247]],
  "species": ["Er", "Er", "Er", "Er", "Cr", "Cr", "Cr", "Cr", "Os", "Os", "Os", "Os"],
  "fractional_positions": [[0.000, 0.250, 0.126], [0.000, 0.750, 0.874], [0.500, 0.250, 0.374], [0.500, 0.750, 0.626], [0.250, 0.250, 0.750], [0.250, 0.750, 0.250], [0.750, 0.250, 0.750], [0.750, 0.750, 0.250], [0.000, 0.000, 0.500], [0.000, 0.500, 0.500], [0.500, 0.000, 0.000], [0.500, 0.500, 0.000]]
}